# BaCaAc4

Crystalline BaCaAc4 at its relaxed geometry (PBE, Alexandria via LeMat-Bulk).

Lattice parameters (Å, degrees): 7.5388 7.5388 7.5388 60.00 60.00 60.00
Closest atoms and distances in Å follow each position.
Positions (direct):
Ca 0.2500 0.2500 0.2500  12 Ac 4.42, 4 Ba 4.62
Ac 0.6239 0.6239 0.1283  6 Ac 3.74-3.80
Ba 0.0000 0.0000 0.0000  12 Ac 4.42, 4 Ca 4.62
Ac 0.6239 0.6239 0.6239  6 Ac 3.74-3.80
Ac 0.6239 0.1283 0.6239  6 Ac 3.74-3.80
Ac 0.1283 0.6239 0.6239  6 Ac 3.74-3.80

Total moment, μB per cell: 0.0
Symmetry: F-43m, No. 216
E above lowest polymorph, eV/atom: 0.150